# 1
Here is Li2HIrN after structural relaxation from Alexandria via LeMat-Bulk. Energies are from PBE-GGA.

The value obtained for the electronic total energy is -4.527 eV per atom. The value obtained for the calculated density is 8.53 g/cm3. The volume is 43.0 Å³ per cell.

The space group is P4/mmm (No. 123) and the conventional cell measures 3.3724, 3.3724 and 3.7833 Å, with angles of 90.00, 90.00 and 90.00 degrees. The asymmetric unit holds Li at (0.0000, 0.5000, 0.0000), H at (0.0000, 0.0000, 0.0000), Ir at (0.0000, 0.0000, 0.5000) and N at (0.5000, 0.5000, 0.5000).

# 2
Here is Na2LiH6Ir after structural relaxation from Alexandria via LeMat-Bulk. Energies are from PBE-GGA.

The value obtained for the electronic total energy is -3.779 eV per atom. The value obtained for the calculated density is 3.59 g/cm3. The volume is 116.1 Å³ per cell.

The space group is P-3m1 (No. 164) and the conventional cell measures 5.1858, 5.1858 and 4.9836 Å, with angles of 90.00, 90.00 and 120.00 degrees. The asymmetric unit holds Na at (0.3333, 0.6667, 0.1498), Li at (0.0000, 0.0000, 0.5000), H at (0.1513, 0.3026, 0.7991) and Ir at (0.0000, 0.0000, 0.0000).

# 3
Here is Na3Li3H8Ir after structural relaxation from Alexandria via LeMat-Bulk. Energies are from PBE-GGA.

The value obtained for the electronic total energy is -3.345 eV per atom. The value obtained for the calculated density is 2.94 g/cm3. The volume is 327.6 Å³ per cell.

The space group is C2/m (No. 12) and the conventional cell measures 10.4175, 6.0316 and 6.2703 Å, with angles of 90.00, 123.74 and 90.00 degrees. The asymmetric unit holds Na at (0.0000, 0.0000, 0.0000), Na at (0.2500, 0.2500, 0.0000), Li at (0.0000, 0.5000, 0.5000), Li at (0.2500, 0.2500, 0.5000), H at (0.0105, 0.2072, 0.3235), H at (0.1978, 0.0000, 0.6776), H at (0.2375, 0.5000, 0.7130) and Ir at (0.0000, 0.0000, 0.5000).

# 4
Here is LiNb2HIr after structural relaxation from Alexandria via LeMat-Bulk. Energies are from PBE-GGA.

The value obtained for the electronic total energy is -7.033 eV per atom. The value obtained for the calculated density is 9.84 g/cm3. The volume is 65.1 Å³ per cell.

The space group is P4/mmm (No. 123) and the conventional cell measures 4.1138, 4.1138 and 3.8485 Å, with angles of 90.00, 90.00 and 90.00 degrees. The asymmetric unit holds Li at (0.0000, 0.0000, 0.0000), Nb at (0.0000, 0.5000, 0.5000), H at (0.0000, 0.0000, 0.5000) and Ir at (0.5000, 0.5000, 0.0000).

# 5
Here is LiNdH6Ir after structural relaxation from Alexandria via LeMat-Bulk. Energies are from PBE-GGA.

The value obtained for the electronic total energy is -4.398 eV per atom. The value obtained for the calculated density is 7.17 g/cm3. The volume is 80.9 Å³ per cell.

The space group is P-6m2 (No. 187) and the conventional cell measures 4.6037, 4.6037 and 4.4089 Å, with angles of 90.00, 90.00 and 120.00 degrees. The asymmetric unit holds Li at (0.0000, 0.0000, 0.0000), Nd at (0.6667, 0.3333, 0.5000), H at (0.1788, 0.3575, 0.2653) and Ir at (0.3333, 0.6667, 0.0000).

# 6
Here is Li2NiHIr after structural relaxation from Alexandria via LeMat-Bulk. Energies are from PBE-GGA.

The value obtained for the electronic total energy is -4.432 eV per atom. The value obtained for the calculated density is 8.61 g/cm3. The volume is 51.2 Å³ per cell.

The space group is P4/mmm (No. 123) and the conventional cell measures 3.6772, 3.6772 and 3.7889 Å, with angles of 90.00, 90.00 and 90.00 degrees. The asymmetric unit holds Li at (0.0000, 0.5000, 0.0000), Ni at (0.0000, 0.0000, 0.5000), H at (0.5000, 0.5000, 0.0000) and Ir at (0.5000, 0.5000, 0.5000).

# 7
Here is LiNpH6Ir after structural relaxation from Alexandria via LeMat-Bulk. Energies are from PBE-GGA.

The value obtained for the electronic total energy is -5.075 eV per atom. The value obtained for the calculated density is 9.63 g/cm3. The volume is 76.2 Å³ per cell.

The space group is P-6m2 (No. 187) and the conventional cell measures 4.4942, 4.4942 and 4.3586 Å, with angles of 90.00, 90.00 and 120.00 degrees. The asymmetric unit holds Li at (0.0000, 0.0000, 0.0000), Np at (0.6667, 0.3333, 0.5000), H at (0.1754, 0.3508, 0.2759) and Ir at (0.3333, 0.6667, 0.0000).

# 8
Here is LiH6IrPb after structural relaxation from Alexandria via LeMat-Bulk. Energies are from PBE-GGA.

The value obtained for the electronic total energy is -3.959 eV per atom. The value obtained for the calculated density is 7.19 g/cm3. The volume is 95.3 Å³ per cell.

The space group is P312 (No. 149) and the conventional cell measures 4.8413, 4.8413 and 4.6948 Å, with angles of 90.00, 90.00 and 120.00 degrees. The asymmetric unit holds Li at (0.0000, 0.0000, 0.0000), H at (0.0743, 0.3768, 0.2164), Ir at (0.3333, 0.6667, 0.0000) and Pb at (0.6667, 0.3333, 0.5000).

# 9
Here is LiHIr2Pd after structural relaxation from Alexandria via LeMat-Bulk. Energies are from PBE-GGA.

The value obtained for the electronic total energy is -5.668 eV per atom. The value obtained for the calculated density is 14.09 g/cm3. The volume is 58.8 Å³ per cell.

The space group is P4/mmm (No. 123) and the conventional cell measures 3.8267, 3.8267 and 4.0147 Å, with angles of 90.00, 90.00 and 90.00 degrees. The asymmetric unit holds Li at (0.0000, 0.0000, 0.0000), H at (0.0000, 0.0000, 0.5000), Ir at (0.0000, 0.5000, 0.5000) and Pd at (0.5000, 0.5000, 0.0000).

# 10
Here is LiH6IrPd after structural relaxation from Alexandria via LeMat-Bulk. Energies are from PBE-GGA.

The value obtained for the electronic total energy is -4.019 eV per atom. The value obtained for the calculated density is 7.48 g/cm3. The volume is 138.3 Å³ per cell.

The space group is P-31c (No. 163) and the conventional cell measures 5.1207, 5.1207 and 6.0918 Å, with angles of 90.00, 90.00 and 120.00 degrees. The asymmetric unit holds Li at (0.0000, 0.0000, 0.0000), H at (0.0161, 0.3490, 0.1591), Ir at (0.3333, 0.6667, 0.2500) and Pd at (0.3333, 0.6667, 0.7500).

# 11
Here is Li2H6IrPd after structural relaxation from Alexandria via LeMat-Bulk. Energies are from PBE-GGA.

The value obtained for the electronic total energy is -4.104 eV per atom. The value obtained for the calculated density is 6.43 g/cm3. The volume is 82.3 Å³ per cell.

The space group is P1 (No. 1) and the conventional cell measures 4.8122, 4.8585 and 4.8733 Å, with angles of 118.98, 118.67 and 91.61 degrees. The asymmetric unit holds Li at (0.0000, 0.0000, 0.0000), Li at (0.4935, 0.4924, 0.9871), H at (0.0319, 0.0443, 0.4901), H at (0.4627, 0.4498, 0.4971), H at (0.5024, 0.0067, 0.0077), H at (0.5610, 0.9394, 0.4906), H at (0.9366, 0.5489, 0.4968), H at (0.9893, 0.4856, 0.9795), Ir at (0.7462, 0.2456, 0.4936) and Pd at (0.2470, 0.7469, 0.4936).

# 12
Here is LiH5IrPd2 after structural relaxation from Alexandria via LeMat-Bulk. Energies are from PBE-GGA.

The value obtained for the electronic total energy is -4.311 eV per atom. The value obtained for the calculated density is 8.71 g/cm3. The volume is 159.0 Å³ per cell.

The space group is Immm (No. 71) and the conventional cell measures 3.4779, 4.5780 and 9.9855 Å, with angles of 90.00, 90.00 and 90.00 degrees. The asymmetric unit holds Li at (0.0000, 0.0000, 0.0000), H at (0.0000, 0.2505, 0.3665), H at (0.0000, 0.5000, 0.0000), Ir at (0.0000, 0.0000, 0.5000) and Pd at (0.0000, 0.5000, 0.2329).

# 13
Here is LiPmH8Ir2 after structural relaxation from Alexandria via LeMat-Bulk. Energies are from PBE-GGA.

The value obtained for the electronic total energy is -4.592 eV per atom. The value obtained for the calculated density is 9.15 g/cm3. The volume is 197.7 Å³ per cell.

The space group is C2/m (No. 12) and the conventional cell measures 8.0532, 4.3936 and 6.1635 Å, with angles of 90.00, 115.00 and 90.00 degrees. The asymmetric unit holds Li at (0.0000, 0.0000, 0.0000), Pm at (0.0000, 0.5000, 0.5000), H at (0.0638, 0.0000, 0.6872), H at (0.1675, 0.2458, 0.3065), H at (0.2484, 0.5000, 0.8939) and Ir at (0.2105, 0.5000, 0.1417).

# 14
Here is LiPmH6Ir after structural relaxation from Alexandria via LeMat-Bulk. Energies are from PBE-GGA.

The value obtained for the electronic total energy is -4.393 eV per atom. The value obtained for the calculated density is 7.31 g/cm3. The volume is 79.6 Å³ per cell.

The space group is P-6m2 (No. 187) and the conventional cell measures 4.5789, 4.5789 and 4.3842 Å, with angles of 90.00, 90.00 and 120.00 degrees. The asymmetric unit holds Li at (0.0000, 0.0000, 0.0000), Pm at (0.3333, 0.6667, 0.5000), H at (0.3566, 0.1783, 0.2676) and Ir at (0.6667, 0.3333, 0.0000).

# 15
Here is Li2PrH8Ir after structural relaxation from Alexandria via LeMat-Bulk. Energies are from PBE-GGA.

The value obtained for the electronic total energy is -4.169 eV per atom. The value obtained for the calculated density is 5.44 g/cm3. The volume is 108.5 Å³ per cell.

The space group is P-3 (No. 147) and the conventional cell measures 4.4837, 4.4837 and 6.2311 Å, with angles of 90.00, 90.00 and 120.00 degrees. The asymmetric unit holds Li at (0.3333, 0.6667, 0.1204), Pr at (0.0000, 0.0000, 0.5000), H at (0.1702, 0.3458, 0.8397), H at (0.3333, 0.6667, 0.4482) and Ir at (0.0000, 0.0000, 0.0000).

# 16
Here is LiPr2H6Ir after structural relaxation from Alexandria via LeMat-Bulk. Energies are from PBE-GGA.

The value obtained for the electronic total energy is -4.424 eV per atom. The value obtained for the calculated density is 7.05 g/cm3. The volume is 114.8 Å³ per cell.

The space group is P-3m1 (No. 164) and the conventional cell measures 5.1657, 5.1657 and 4.9656 Å, with angles of 90.00, 90.00 and 120.00 degrees. The asymmetric unit holds Li at (0.0000, 0.0000, 0.0000), Pr at (0.3333, 0.6667, 0.2510), H at (0.1580, 0.3159, 0.7196) and Ir at (0.0000, 0.0000, 0.5000).

# 17
Here is LiH6IrPt after structural relaxation from Alexandria via LeMat-Bulk. Energies are from PBE-GGA.

The value obtained for the electronic total energy is -4.120 eV per atom. The value obtained for the calculated density is 8.60 g/cm3. The volume is 154.5 Å³ per cell.

The space group is P-31c (No. 163) and the conventional cell measures 4.8846, 4.8846 and 7.4795 Å, with angles of 90.00, 90.00 and 120.00 degrees. The asymmetric unit holds Li at (0.0000, 0.0000, 0.0000), H at (0.0058, 0.3515, 0.1470), Ir at (0.3333, 0.6667, 0.2500) and Pt at (0.3333, 0.6667, 0.7500).

# 18
Here is LiPu2H6Ir after structural relaxation from Alexandria via LeMat-Bulk. Energies are from PBE-GGA.

The value obtained for the electronic total energy is -6.198 eV per atom. The value obtained for the calculated density is 10.76 g/cm3. The volume is 106.9 Å³ per cell.

The space group is P-3m1 (No. 164) and the conventional cell measures 5.0791, 5.0791 and 4.7864 Å, with angles of 90.00, 90.00 and 120.00 degrees. The asymmetric unit holds Li at (0.0000, 0.0000, 0.0000), Pu at (0.3333, 0.6667, 0.7584), H at (0.1655, 0.3310, 0.2843) and Ir at (0.0000, 0.0000, 0.5000).

# 19
Here is Li2HIrRh after structural relaxation from Alexandria via LeMat-Bulk. Energies are from PBE-GGA.

The value obtained for the electronic total energy is -4.737 eV per atom. The value obtained for the calculated density is 9.47 g/cm3. The volume is 54.3 Å³ per cell.

The space group is P4/mmm (No. 123) and the conventional cell measures 3.8740, 3.8740 and 3.6205 Å, with angles of 90.00, 90.00 and 90.00 degrees. The asymmetric unit holds Li at (0.0000, 0.5000, 0.0000), H at (0.0000, 0.0000, 0.0000), Ir at (0.0000, 0.0000, 0.5000) and Rh at (0.5000, 0.5000, 0.5000).

# 20
Here is LiHIrRh2 after structural relaxation from Alexandria via LeMat-Bulk. Energies are from PBE-GGA.

The value obtained for the electronic total energy is -5.760 eV per atom. The value obtained for the calculated density is 11.58 g/cm3. The volume is 58.2 Å³ per cell. The value obtained for the energy above the most stable polymorph in this dataset is 0.0490 eV per atom.

The space group is P4/mmm (No. 123) and the conventional cell measures 3.9066, 3.9066 and 3.8143 Å, with angles of 90.00, 90.00 and 90.00 degrees. The asymmetric unit holds Li at (0.0000, 0.0000, 0.0000), H at (0.5000, 0.5000, 0.5000), Ir at (0.5000, 0.5000, 0.0000) and Rh at (0.0000, 0.5000, 0.5000).

# 21
Here is LiHIrRh2 after structural relaxation from Alexandria via LeMat-Bulk. Energies are from PBE-GGA.

The value obtained for the electronic total energy is -5.138 eV per atom. The value obtained for the calculated density is 11.36 g/cm3. The volume is 59.3 Å³ per cell. The value obtained for the energy above the most stable polymorph in this dataset is 0.6710 eV per atom.

The space group is P4/mmm (No. 123) and the conventional cell measures 4.6111, 4.6111 and 2.7902 Å, with angles of 90.00, 90.00 and 90.00 degrees. The asymmetric unit holds Li at (0.0000, 0.0000, 0.0000), H at (0.0000, 0.0000, 0.5000), Ir at (0.5000, 0.5000, 0.5000) and Rh at (0.0000, 0.5000, 0.0000).

# 22
Here is Li2H6IrRh after structural relaxation from Alexandria via LeMat-Bulk. Energies are from PBE-GGA.

The value obtained for the electronic total energy is -4.307 eV per atom. The value obtained for the calculated density is 6.67 g/cm3. The volume is 78.5 Å³ per cell.

The space group is P1 (No. 1) and the conventional cell measures 4.7472, 4.7693 and 4.7879 Å, with angles of 118.71, 118.51 and 92.03 degrees. The asymmetric unit holds Li at (0.0000, 0.0000, 0.0000), Li at (0.4901, 0.4918, 0.9816), H at (0.0487, 0.0449, 0.4947), H at (0.4417, 0.4474, 0.4872), H at (0.4936, 0.9874, 0.9875), H at (0.5669, 0.9292, 0.4980), H at (0.9221, 0.5647, 0.4847), H at (0.9971, 0.5026, 0.9944), Ir at (0.2448, 0.7459, 0.4910) and Rh at (0.7453, 0.2462, 0.4909).

# 23
Here is LiHIrRh2 after structural relaxation from Alexandria via LeMat-Bulk. Energies are from PBE-GGA.

The value obtained for the electronic total energy is -5.809 eV per atom. The value obtained for the calculated density is 11.89 g/cm3. The volume is 56.7 Å³ per cell. The value obtained for the energy above the most stable polymorph in this dataset is 0.0000 eV per atom.

The space group is P4/mmm (No. 123) and the conventional cell measures 3.8669, 3.8669 and 3.7920 Å, with angles of 90.00, 90.00 and 90.00 degrees. The asymmetric unit holds Li at (0.0000, 0.0000, 0.0000), H at (0.0000, 0.0000, 0.5000), Ir at (0.5000, 0.5000, 0.0000) and Rh at (0.0000, 0.5000, 0.5000).